one | A relaxed structure of MoRu3Rh. Source: the Alexandria database, functional PBE.

a = 4.574 Å, b = 4.574 Å, c = 4.574 Å
α = 90.00°, β = 90.00°, γ = 90.00°
Element x y z (fractional)
Mo1 0.000 0.000 0.000
Ru1 0.000 0.500 0.500
Ru2 0.500 0.000 0.500
Ru3 0.500 0.500 0.000
Rh1 0.500 0.500 0.500

Summary:
Space group: Pm-3m
Calculated volume in Å³/f.u.: 96
Mass density in Mg/m³: 8.712

two | A relaxed structure of MoRu3Rh. Source: the Alexandria database, functional PBE.

a = 4.599 Å, b = 4.599 Å, c = 4.599 Å
α = 90.00°, β = 90.00°, γ = 90.00°
Element x y z (fractional)
Mo1 0.000 0.000 0.000
Ru1 0.000 0.000 0.500
Ru2 0.000 0.500 0.000
Ru3 0.500 0.000 0.000
Rh1 0.500 0.500 0.500

Summary:
Space group: Pm-3m
Calculated volume in Å³/f.u.: 97
Mass density in Mg/m³: 8.569

Most stable: two (next structure +36.5 kJ/mol of atoms)

one | A relaxed structure of SbTe2MoRh. Source: the Alexandria database, functional PBE.

a = 5.185 Å, b = 5.185 Å, c = 5.196 Å
α = 90.00°, β = 90.00°, γ = 90.00°
Element x y z (fractional)
Sb1 0.000 0.000 0.000
Te1 0.000 0.500 0.500
Te2 0.500 0.000 0.500
Mo1 0.000 0.000 0.500
Rh1 0.500 0.500 0.000

Summary:
Space group: P4/mmm
Calculated volume in Å³/f.u.: 140
Mass density in Mg/m³: 6.844

two | A relaxed structure of SbTe2MoRh. Source: the Alexandria database, functional PBE.

a = 5.328 Å, b = 5.328 Å, c = 4.901 Å
α = 90.00°, β = 90.00°, γ = 90.00°
Element x y z (fractional)
Sb1 0.000 0.000 0.000
Te1 0.000 0.500 0.500
Te2 0.500 0.000 0.500
Mo1 0.500 0.500 0.000
Rh1 0.000 0.000 0.500

Summary:
Space group: P4/mmm
Calculated volume in Å³/f.u.: 139
Mass density in Mg/m³: 6.872

Most stable: two (next structure +7.9 kJ/mol of atoms)